DFT (PBE) results for a geometry-optimized SrBe2Cu structure.

Structure (POSCAR):
```
SrBe2Cu
1.0
2.637 -4.619 0.000
2.637 4.619 0.000
-1.604 0.000 3.066
Sr Be Cu
1 2 1
Direct
0.000 0.000 0.000
0.000 0.500 0.500
0.500 0.000 0.500
0.500 0.500 0.000
```

Values from the calculation:
Formation enthalpy at 0 K: 0.943 eV per atom
Excess energy over the best structure of this formula in the dataset: 902 meV per atom
E: -9.46 eV for the cell shown